Material: Ho2FeBiO6
Method: DFT, GGA+U
State: optimized geometry

The structure in POSCAR format:
```
Ho2FeBiO6
1.0
5.456 0.000 0.000
0.000 5.317 0.000
0.000 0.000 5.317
Bi O Ho Fe
1 6 2 1
Direct
0.545 0.500 0.500
0.750 0.761 0.239
0.127 0.500 0.500
0.750 0.239 0.239
0.241 0.000 0.000
0.750 0.761 0.761
0.750 0.239 0.761
0.973 0.000 0.500
0.973 0.500 0.000
0.589 0.000 0.000
```

- Crystal system: tetragonal
- Magnetization: 0.50 μB per atom


Material: HoFeBi2O6
Method: DFT, GGA+U
State: optimized geometry

The structure in POSCAR format:
```
HoFeBi2O6
1.0
5.827 -0.005 0.002
2.913 5.042 0.000
2.913 1.676 4.907
O Fe Bi Ho
6 1 2 1
Direct
0.459 0.655 0.766
0.594 0.167 0.249
0.991 0.594 0.249
0.120 0.459 0.765
0.167 0.991 0.248
0.655 0.121 0.765
0.314 0.313 0.060
0.027 0.027 0.920
0.527 0.526 0.421
0.809 0.809 0.573
```

- Crystal system: trigonal
- Magnetization: 0.50 μB per atom


Number 1: raw total energy -7.02 eV/atom. Number 2: raw total energy -6.62 eV/atom.